(1)
# Ac2PrTmS6 (GGA-PBE, optimized geometry)
# SG: R3
data_Ac2PrTmS6
_chemical_formula_sum 'Ac2 Pr1 Tm1 S6'
_symmetry_space_group_name_H-M 'P 1'
_symmetry_Int_Tables_number 1
_cell_length_a 7.562
_cell_length_b 7.562
_cell_length_c 7.562
_cell_angle_alpha 57.93
_cell_angle_beta 57.93
_cell_angle_gamma 57.93
loop_
_symmetry_equiv_pos_as_xyz
'x,y,z'
loop_
_atom_site_label
_atom_site_type_symbol
_atom_site_fract_x
_atom_site_fract_y
_atom_site_fract_z
_atom_site_occupancy
Ac1 Ac 0.000 0.000 0.000 1
Ac2 Ac 0.498 0.498 0.498 1
Pr1 Pr 0.214 0.214 0.214 1
Tm1 Tm 0.711 0.711 0.711 1
S1 S 0.068 0.432 0.838 1
S2 S 0.347 0.915 0.585 1
S3 S 0.432 0.838 0.068 1
S4 S 0.585 0.347 0.915 1
S5 S 0.838 0.068 0.432 1
S6 S 0.915 0.585 0.347 1

---

(2)
# AcPr2TmS4 (GGA-PBE, optimized geometry)
# SG: P2/m
data_AcPr2TmS4
_chemical_formula_sum 'Ac1 Pr2 Tm1 S4'
_symmetry_space_group_name_H-M 'P 1'
_symmetry_Int_Tables_number 1
_cell_length_a 7.061
_cell_length_b 4.031
_cell_length_c 7.229
_cell_angle_alpha 90.00
_cell_angle_beta 108.56
_cell_angle_gamma 90.00
loop_
_symmetry_equiv_pos_as_xyz
'x,y,z'
loop_
_atom_site_label
_atom_site_type_symbol
_atom_site_fract_x
_atom_site_fract_y
_atom_site_fract_z
_atom_site_occupancy
Ac1 Ac 0.000 0.000 0.000 1
Pr1 Pr 0.500 0.000 0.500 1
Pr2 Pr 0.500 0.500 0.000 1
Tm1 Tm 0.000 0.500 0.500 1
S1 S 0.234 0.000 0.727 1
S2 S 0.248 0.500 0.268 1
S3 S 0.752 0.500 0.732 1
S4 S 0.766 0.000 0.273 1

---

(3)
# Ac2PrUS8 (GGA-PBE, optimized geometry)
# SG: P2/m
data_Ac2PrUS8
_chemical_formula_sum 'Ac2 Pr1 U1 S8'
_symmetry_space_group_name_H-M 'P 1'
_symmetry_Int_Tables_number 1
_cell_length_a 4.750
_cell_length_b 9.385
_cell_length_c 7.009
_cell_angle_alpha 90.00
_cell_angle_beta 90.05
_cell_angle_gamma 90.00
loop_
_symmetry_equiv_pos_as_xyz
'x,y,z'
loop_
_atom_site_label
_atom_site_type_symbol
_atom_site_fract_x
_atom_site_fract_y
_atom_site_fract_z
_atom_site_occupancy
Ac1 Ac 0.000 0.249 0.000 1
Ac2 Ac 0.000 0.751 0.000 1
Pr1 Pr 0.500 0.000 0.500 1
U1 U 0.500 0.500 0.500 1
S1 S 0.000 0.000 0.256 1
S2 S 0.000 0.000 0.744 1
S3 S 0.000 0.500 0.290 1
S4 S 0.000 0.500 0.710 1
S5 S 0.500 0.276 0.269 1
S6 S 0.500 0.276 0.731 1
S7 S 0.500 0.724 0.269 1
S8 S 0.500 0.724 0.731 1

---

(4)
# Ac2PrYS4 (GGA-PBE, optimized geometry)
# SG: P2/m
data_Ac2PrYS4
_chemical_formula_sum 'Ac2 Pr1 Y1 S4'
_symmetry_space_group_name_H-M 'P 1'
_symmetry_Int_Tables_number 1
_cell_length_a 7.174
_cell_length_b 4.100
_cell_length_c 7.308
_cell_angle_alpha 90.00
_cell_angle_beta 108.80
_cell_angle_gamma 90.00
loop_
_symmetry_equiv_pos_as_xyz
'x,y,z'
loop_
_atom_site_label
_atom_site_type_symbol
_atom_site_fract_x
_atom_site_fract_y
_atom_site_fract_z
_atom_site_occupancy
Ac1 Ac 0.000 0.000 0.000 1
Ac2 Ac 0.500 0.500 0.000 1
Pr1 Pr 0.000 0.500 0.500 1
Y1 Y 0.500 0.000 0.500 1
S1 S 0.252 0.000 0.731 1
S2 S 0.267 0.500 0.275 1
S3 S 0.733 0.500 0.725 1
S4 S 0.748 0.000 0.269 1

---

(5)
# AcPrY2S4 (GGA-PBE, optimized geometry)
# SG: P2/m
data_AcPrY2S4
_chemical_formula_sum 'Ac1 Pr1 Y2 S4'
_symmetry_space_group_name_H-M 'P 1'
_symmetry_Int_Tables_number 1
_cell_length_a 6.940
_cell_length_b 3.986
_cell_length_c 7.242
_cell_angle_alpha 90.00
_cell_angle_beta 108.51
_cell_angle_gamma 90.00
loop_
_symmetry_equiv_pos_as_xyz
'x,y,z'
loop_
_atom_site_label
_atom_site_type_symbol
_atom_site_fract_x
_atom_site_fract_y
_atom_site_fract_z
_atom_site_occupancy
Ac1 Ac 0.000 0.000 0.000 1
Pr1 Pr 0.500 0.500 0.000 1
Y1 Y 0.000 0.500 0.500 1
Y2 Y 0.500 0.000 0.500 1
S1 S 0.246 0.000 0.727 1
S2 S 0.263 0.500 0.277 1
S3 S 0.737 0.500 0.723 1
S4 S 0.754 0.000 0.273 1

---

(6)
# Ac2PrYS6 (GGA-PBE, optimized geometry)
# SG: R3
data_Ac2PrYS6
_chemical_formula_sum 'Ac2 Pr1 Y1 S6'
_symmetry_space_group_name_H-M 'P 1'
_symmetry_Int_Tables_number 1
_cell_length_a 7.608
_cell_length_b 7.608
_cell_length_c 7.608
_cell_angle_alpha 57.80
_cell_angle_beta 57.80
_cell_angle_gamma 57.80
loop_
_symmetry_equiv_pos_as_xyz
'x,y,z'
loop_
_atom_site_label
_atom_site_type_symbol
_atom_site_fract_x
_atom_site_fract_y
_atom_site_fract_z
_atom_site_occupancy
Ac1 Ac 0.000 0.000 0.000 1
Ac2 Ac 0.498 0.498 0.498 1
Pr1 Pr 0.285 0.285 0.285 1
Y1 Y 0.788 0.788 0.788 1
S1 S 0.071 0.425 0.662 1
S2 S 0.156 0.912 0.584 1
S3 S 0.425 0.662 0.071 1
S4 S 0.584 0.156 0.912 1
S5 S 0.662 0.071 0.425 1
S6 S 0.912 0.584 0.156 1

---

(7)
# Ac3Pr3YS8 (GGA-PBE, optimized geometry)
# SG: R-3m
data_Ac3Pr3YS8
_chemical_formula_sum 'Ac3 Pr3 Y1 S8'
_symmetry_space_group_name_H-M 'P 1'
_symmetry_Int_Tables_number 1
_cell_length_a 8.428
_cell_length_b 8.428
_cell_length_c 8.428
_cell_angle_alpha 58.94
_cell_angle_beta 58.94
_cell_angle_gamma 58.94
loop_
_symmetry_equiv_pos_as_xyz
'x,y,z'
loop_
_atom_site_label
_atom_site_type_symbol
_atom_site_fract_x
_atom_site_fract_y
_atom_site_fract_z
_atom_site_occupancy
Ac1 Ac 0.000 0.500 0.500 1
Ac2 Ac 0.500 0.000 0.500 1
Ac3 Ac 0.500 0.500 0.000 1
Pr1 Pr 0.000 0.000 0.500 1
Pr2 Pr 0.000 0.500 0.000 1
Pr3 Pr 0.500 0.000 0.000 1
Y1 Y 0.500 0.500 0.500 1
S1 S 0.246 0.246 0.246 1
S2 S 0.256 0.737 0.737 1
S3 S 0.263 0.263 0.744 1
S4 S 0.263 0.744 0.263 1
S5 S 0.737 0.256 0.737 1
S6 S 0.737 0.737 0.256 1
S7 S 0.744 0.263 0.263 1
S8 S 0.754 0.754 0.754 1

---

(8)
# AcPr2YS4 (GGA-PBE, optimized geometry)
# SG: P2/m
data_AcPr2YS4
_chemical_formula_sum 'Ac1 Pr2 Y1 S4'
_symmetry_space_group_name_H-M 'P 1'
_symmetry_Int_Tables_number 1
_cell_length_a 7.103
_cell_length_b 4.067
_cell_length_c 7.219
_cell_angle_alpha 90.00
_cell_angle_beta 108.86
_cell_angle_gamma 90.00
loop_
_symmetry_equiv_pos_as_xyz
'x,y,z'
loop_
_atom_site_label
_atom_site_type_symbol
_atom_site_fract_x
_atom_site_fract_y
_atom_site_fract_z
_atom_site_occupancy
Ac1 Ac 0.000 0.000 0.000 1
Pr1 Pr 0.500 0.000 0.500 1
Pr2 Pr 0.500 0.500 0.000 1
Y1 Y 0.000 0.500 0.500 1
S1 S 0.240 0.000 0.733 1
S2 S 0.251 0.500 0.265 1
S3 S 0.749 0.500 0.735 1
S4 S 0.760 0.000 0.267 1

---

(9)
# AcPr5Sb6 (GGA-PBE, optimized geometry)
# SG: C2/m
data_AcPr5Sb6
_chemical_formula_sum 'Ac1 Pr5 Sb6'
_symmetry_space_group_name_H-M 'P 1'
_symmetry_Int_Tables_number 1
_cell_length_a 7.969
_cell_length_b 7.969
_cell_length_c 7.970
_cell_angle_alpha 99.61
_cell_angle_beta 99.61
_cell_angle_gamma 120.00
loop_
_symmetry_equiv_pos_as_xyz
'x,y,z'
loop_
_atom_site_label
_atom_site_type_symbol
_atom_site_fract_x
_atom_site_fract_y
_atom_site_fract_z
_atom_site_occupancy
Ac1 Ac 0.000 0.000 0.000 1
Pr1 Pr 0.165 0.835 0.500 1
Pr2 Pr 0.333 0.667 0.000 1
Pr3 Pr 0.500 0.500 0.500 1
Pr4 Pr 0.667 0.333 0.000 1
Pr5 Pr 0.835 0.165 0.500 1
Sb1 Sb 0.085 0.425 0.255 1
Sb2 Sb 0.256 0.256 0.747 1
Sb3 Sb 0.425 0.085 0.255 1
Sb4 Sb 0.575 0.915 0.745 1
Sb5 Sb 0.744 0.744 0.253 1
Sb6 Sb 0.915 0.575 0.745 1

---

(10)
# AcPr3Sb3 (GGA-PBE, optimized geometry)
# Distance to the lowest polymorph of the same formula in eV per formula unit: 1.57
# SG: P6_3/m
data_AcPr3Sb3
_chemical_formula_sum 'Ac2 Pr6 Sb6'
_symmetry_space_group_name_H-M 'P 1'
_symmetry_Int_Tables_number 1
_cell_length_a 9.534
_cell_length_b 9.534
_cell_length_c 5.946
_cell_angle_alpha 90.00
_cell_angle_beta 90.00
_cell_angle_gamma 120.00
loop_
_symmetry_equiv_pos_as_xyz
'x,y,z'
loop_
_atom_site_label
_atom_site_type_symbol
_atom_site_fract_x
_atom_site_fract_y
_atom_site_fract_z
_atom_site_occupancy
Ac1 Ac 0.333 0.667 0.250 1
Ac2 Ac 0.667 0.333 0.750 1
Pr1 Pr 0.010 0.254 0.250 1
Pr2 Pr 0.245 0.990 0.250 1
Pr3 Pr 0.254 0.245 0.750 1
Pr4 Pr 0.746 0.755 0.250 1
Pr5 Pr 0.755 0.010 0.750 1
Pr6 Pr 0.990 0.746 0.750 1
Sb1 Sb 0.056 0.422 0.750 1
Sb2 Sb 0.366 0.944 0.750 1
Sb3 Sb 0.422 0.366 0.250 1
Sb4 Sb 0.578 0.634 0.750 1
Sb5 Sb 0.634 0.056 0.250 1
Sb6 Sb 0.944 0.578 0.250 1

---

(11)
# AcPrSb (GGA-PBE, optimized geometry)
# Distance to the lowest polymorph of the same formula in eV per formula unit: 0.00
# SG: P4/nmm
data_AcPrSb
_chemical_formula_sum 'Ac2 Pr2 Sb2'
_symmetry_space_group_name_H-M 'P 1'
_symmetry_Int_Tables_number 1
_cell_length_a 4.789
_cell_length_b 4.789
_cell_length_c 9.222
_cell_angle_alpha 90.00
_cell_angle_beta 90.00
_cell_angle_gamma 90.00
loop_
_symmetry_equiv_pos_as_xyz
'x,y,z'
loop_
_atom_site_label
_atom_site_type_symbol
_atom_site_fract_x
_atom_site_fract_y
_atom_site_fract_z
_atom_site_occupancy
Ac1 Ac 0.250 0.250 0.147 1
Ac2 Ac 0.750 0.750 0.853 1
Pr1 Pr 0.250 0.750 0.500 1
Pr2 Pr 0.750 0.250 0.500 1
Sb1 Sb 0.250 0.250 0.767 1
Sb2 Sb 0.750 0.750 0.233 1

---

Going through the records in order, we get formation energy without anion corrections values of -2.09; -1.96; -1.61; -1.99; -2.00; -2.09; -2.04; -1.99; -1.19; -0.82; -0.81 eV per atom.
Going through the records in order, we get ρ values of 5451; 6862; 5790; 6626; 5892; 4921; 5826; 6109; 6681; 7202; 7689 kg/m³.